Material: HfBe3Se
Method: DFT, PBE
State: optimized geometry

**Electronic total energy**: -3.184 eV/atom
**Size of the total moment**: 0.00 μB/cell
**Excess energy over the best structure of this formula in the dataset**: 854 meV per atom
**Raw formation energy**: 8.69 eV/f.u.

```
HfBe3Se
1.0
4.7679 0.0000 0.0000
0.0000 4.7679 0.0000
0.0000 0.0000 4.7679
Hf Be Se
1 3 1
Direct
0.0000 0.0000 0.0000
0.0000 0.0000 0.5000
0.0000 0.5000 0.0000
0.5000 0.0000 0.0000
0.5000 0.5000 0.5000
```

---

Material: Hf2BeSe
Method: DFT, PBE
State: optimized geometry

**Electronic total energy**: -6.906 eV/atom
**Size of the total moment**: 0.00 μB/cell
**Excess energy over the best structure of this formula in the dataset**: 403 meV per atom
**Raw formation energy**: -0.51 eV/f.u.

```
Hf2BeSe
1.0
0.0000 3.2644 3.2644
3.2644 0.0000 3.2644
3.2644 3.2644 0.0000
Hf Be Se
2 1 1
Direct
0.2500 0.2500 0.2500
0.7500 0.7500 0.7500
0.0000 0.0000 0.0000
0.5000 0.5000 0.5000
```

---

Material: HfBe3Se
Method: DFT, PBE
State: optimized geometry

**Electronic total energy**: -4.039 eV/atom
**Size of the total moment**: 0.00 μB/cell
**Excess energy over the best structure of this formula in the dataset**: 0 meV per atom
**Raw formation energy**: 4.42 eV/f.u.

```
HfBe3Se
1.0
4.2707 0.0000 0.0000
0.0000 4.2707 0.0000
0.0000 0.0000 4.2707
Hf Be Se
1 3 1
Direct
0.0000 0.0000 0.0000
0.0000 0.5000 0.5000
0.5000 0.0000 0.5000
0.5000 0.5000 0.0000
0.5000 0.5000 0.5000
```

---

Material: HfBeSe
Method: DFT, PBE
State: optimized geometry

**Electronic total energy**: -6.083 eV/atom
**Size of the total moment**: 0.00 μB/cell
**Raw formation energy**: -1.08 eV/f.u.

```
HfBeSe
1.0
3.1479 -1.8163 0.0000
3.1479 1.8163 0.0000
-2.0369 0.0000 11.1679
Hf Be Se
2 2 2
Direct
0.1002 0.1002 0.2931
0.8998 0.8998 0.7069
0.1789 0.1789 0.5388
0.8211 0.8211 0.4612
0.3885 0.3885 0.1540
0.6115 0.6115 0.8460
```